No. 1
An optimized crystal structure of Th2B3C. Source: Alexandria via LeMat-Bulk, functional GGA-PBE.

a b c (Å): 7.024 6.407 5.376
angles (deg): 72.59 60.50 46.91
Element x y z (fractional)
1 Th 0.246 0.754 0.246
2 Th 0.250 0.250 0.250
3 Th 0.750 0.750 0.750
4 Th 0.754 0.246 0.754
5 B 0.174 0.174 0.826
6 B 0.177 0.650 0.823
7 B 0.350 0.823 0.650
8 B 0.650 0.177 0.350
9 B 0.823 0.350 0.177
10 B 0.826 0.826 0.174
11 C 0.334 0.334 0.666
12 C 0.666 0.666 0.334

Energy of formation from the pure elements   -297 meV per atom
Space group   Fmmm

No. 2
An optimized crystal structure of ThB4C2. Source: Alexandria via LeMat-Bulk, functional GGA-PBE.

a b c (Å): 6.085 6.085 4.341
angles (deg): 90.00 90.00 90.00
Element x y z (fractional)
1 Th 0.000 0.000 0.000
2 Th 0.500 0.500 0.500
3 B 0.051 0.381 0.500
4 B 0.119 0.551 0.000
5 B 0.381 0.051 0.500
6 B 0.449 0.881 0.000
7 B 0.551 0.119 0.000
8 B 0.619 0.949 0.500
9 B 0.881 0.449 0.000
10 B 0.949 0.619 0.500
11 C 0.186 0.186 0.500
12 C 0.314 0.686 0.000
13 C 0.686 0.314 0.000
14 C 0.814 0.814 0.500

Energy of formation from the pure elements   98 meV per atom
Space group   P4_2/mnm

No. 3
An optimized crystal structure of Th4BC3. Source: Alexandria via LeMat-Bulk, functional GGA-PBE.

a b c (Å): 5.384 5.384 5.384
angles (deg): 90.00 90.00 90.00
Element x y z (fractional)
1 Th 0.000 0.000 0.000
2 Th 0.000 0.500 0.500
3 Th 0.500 0.000 0.500
4 Th 0.500 0.500 0.000
5 B 0.500 0.500 0.500
6 C 0.000 0.000 0.500
7 C 0.000 0.500 0.000
8 C 0.500 0.000 0.000

Energy of formation from the pure elements   -172 meV per atom
Space group   Pm-3m

No. 4
An optimized crystal structure of ThB3C2. Source: Alexandria via LeMat-Bulk, functional GGA-PBE.

a b c (Å): 6.929 6.929 6.881
angles (deg): 119.49 119.49 24.57
Element x y z (fractional)
1 Th 0.153 0.153 0.084
2 Th 0.847 0.847 0.916
3 B 0.065 0.065 0.369
4 B 0.221 0.221 0.519
5 B 0.389 0.389 0.291
6 B 0.611 0.611 0.709
7 B 0.779 0.779 0.481
8 B 0.935 0.935 0.631
9 C 0.152 0.152 0.657
10 C 0.499 0.499 0.736
11 C 0.501 0.501 0.264
12 C 0.848 0.848 0.343

Energy of formation from the pure elements   -7 meV per atom
Space group   C2/m

No. 5
An optimized crystal structure of ThB3C. Source: Alexandria via LeMat-Bulk, functional GGA-PBE.

a b c (Å): 4.288 4.987 5.334
angles (deg): 80.94 89.40 89.80
Element x y z (fractional)
1 Th 0.000 0.000 0.000
2 Th 0.498 0.126 0.489
3 B 0.188 0.505 0.694
4 B 0.323 0.631 0.380
5 B 0.485 0.453 0.942
6 B 0.793 0.526 0.716
7 B 0.839 0.478 0.163
8 B 0.996 0.787 0.523
9 C 0.207 0.486 0.148
10 C 0.702 0.633 0.390

Energy of formation from the pure elements   -76 meV per atom
Space group   P1

No. 6
An optimized crystal structure of Th2B3C4. Source: Alexandria via LeMat-Bulk, functional GGA-PBE.

a b c (Å): 6.468 6.468 6.157
angles (deg): 90.00 90.00 125.15
Element x y z (fractional)
1 Th 0.152 0.848 0.889
2 Th 0.348 0.652 0.389
3 Th 0.652 0.348 0.611
4 Th 0.848 0.152 0.111
5 B 0.000 0.000 0.500
6 B 0.106 0.394 0.750
7 B 0.394 0.106 0.250
8 B 0.500 0.500 0.000
9 B 0.606 0.894 0.750
10 B 0.894 0.606 0.250
11 C 0.138 0.862 0.443
12 C 0.236 0.264 0.750
13 C 0.264 0.236 0.250
14 C 0.362 0.638 0.943
15 C 0.638 0.362 0.057
16 C 0.736 0.764 0.750
17 C 0.764 0.736 0.250
18 C 0.862 0.138 0.557

Energy of formation from the pure elements   548 meV per atom
Space group   Cmce

No. 7
An optimized crystal structure of TiBC3. Source: Alexandria via LeMat-Bulk, functional GGA-PBE.

a b c (Å): 3.434 3.434 3.434
angles (deg): 90.00 90.00 90.00
Element x y z (fractional)
1 Ti 0.000 0.000 0.000
2 B 0.500 0.500 0.500
3 C 0.000 0.500 0.500
4 C 0.500 0.000 0.500
5 C 0.500 0.500 0.000

Energy of formation from the pure elements   1621 meV per atom
Polymorph energy (0 for the lowest one)   0 meV/atom
Space group   Pm-3m

No. 8
An optimized crystal structure of TiBC. Source: Alexandria via LeMat-Bulk, functional GGA-PBE.

a b c (Å): 7.459 7.459 7.459
angles (deg): 156.97 156.11 33.43
Element x y z (fractional)
1 Ti 0.173 0.173 0.000
2 Ti 0.827 0.827 0.000
3 B 0.248 0.000 0.248
4 B 0.752 0.000 0.752
5 C 0.324 0.324 0.000
6 C 0.676 0.676 0.000

Energy of formation from the pure elements   137 meV per atom
Polymorph energy (0 for the lowest one)   623 meV/atom
Space group   Immm

No. 9
An optimized crystal structure of TiBC. Source: Alexandria via LeMat-Bulk, functional GGA-PBE.

a b c (Å): 2.834 2.834 7.047
angles (deg): 90.00 90.00 120.00
Element x y z (fractional)
1 Ti 0.000 0.000 0.000
2 Ti 0.000 0.000 0.500
3 B 0.333 0.667 0.250
4 B 0.667 0.333 0.750
5 C 0.333 0.667 0.750
6 C 0.667 0.333 0.250

Energy of formation from the pure elements   -486 meV per atom
Polymorph energy (0 for the lowest one)   0 meV/atom
Space group   P6_3/mmc

No. 10
An optimized crystal structure of Ti6B2C. Source: Alexandria via LeMat-Bulk, functional GGA-PBE.

a b c (Å): 5.123 5.123 9.759
angles (deg): 90.00 90.00 90.00
Element x y z (fractional)
1 Ti 0.199 0.199 0.160
2 Ti 0.199 0.199 0.840
3 Ti 0.205 0.205 0.500
4 Ti 0.295 0.705 0.000
5 Ti 0.301 0.699 0.340
6 Ti 0.301 0.699 0.660
7 Ti 0.699 0.301 0.340
8 Ti 0.699 0.301 0.660
9 Ti 0.705 0.295 0.000
10 Ti 0.795 0.795 0.500
11 Ti 0.801 0.801 0.160
12 Ti 0.801 0.801 0.840
13 B 0.000 0.000 0.332
14 B 0.000 0.000 0.668
15 B 0.500 0.500 0.168
16 B 0.500 0.500 0.832
17 C 0.000 0.000 0.000
18 C 0.500 0.500 0.500

Energy of formation from the pure elements   -374 meV per atom
Space group   P4_2/mnm

No. 11
An optimized crystal structure of Ti7B2C2. Source: Alexandria via LeMat-Bulk, functional GGA-PBE.

a b c (Å): 6.972 6.972 6.972
angles (deg): 153.70 70.28 116.16
Element x y z (fractional)
1 Ti 0.000 0.000 0.000
2 Ti 0.063 0.377 0.686
3 Ti 0.118 0.756 0.362
4 Ti 0.394 0.756 0.638
5 Ti 0.477 0.593 0.883
6 Ti 0.691 0.377 0.314
7 Ti 0.710 0.593 0.117
8 B 0.319 0.319 0.000
9 B 0.766 0.266 0.500
10 C 0.315 0.073 0.242
11 C 0.832 0.073 0.758

Energy of formation from the pure elements   -372 meV per atom
Space group   Imm2

No. 12
An optimized crystal structure of Ti8B2C3. Source: Alexandria via LeMat-Bulk, functional GGA-PBE.

a b c (Å): 5.926 5.926 5.270
angles (deg): 90.04 90.04 64.84
Element x y z (fractional)
1 Ti 0.108 0.640 0.172
2 Ti 0.114 0.114 0.334
3 Ti 0.360 0.892 0.828
4 Ti 0.380 0.380 0.653
5 Ti 0.620 0.620 0.347
6 Ti 0.640 0.108 0.172
7 Ti 0.886 0.886 0.666
8 Ti 0.892 0.360 0.828
9 B 0.266 0.266 0.011
10 B 0.734 0.734 0.989
11 C 0.000 0.000 0.000
12 C 0.254 0.746 0.500
13 C 0.746 0.254 0.500

Energy of formation from the pure elements   -533 meV per atom
Space group   C2/m